CaNpFe2O6 after structural relaxation. Source: Alexandria via LeMat-Bulk, functional GGA+U.

The structure belongs to space group P1 (No. 1); the cell edges are 5.5052, 5.5323 and 5.8483 Å and the angles 90.02°, 117.01° and 119.74°. The distinct sites, in fractional coordinates, are Ca at (0.0000, 0.0000, 0.0000), Np at (0.9790, 0.4878, 0.4646), Fe at (0.5656, 0.2764, 0.8488), Fe at (0.5956, 0.8094, 0.3860), O at (0.0964, 0.2141, 0.6667), O at (0.1104, 0.4299, 0.2033), O at (0.4586, 0.8775, 0.6639), O at (0.5226, 0.1059, 0.1786), O at (0.7833, 0.6877, 0.2106) and O at (0.7940, 0.5603, 0.6810).

Its uncorrected energy is -79.0 eV/cell. The value obtained for the calculated density is 6.11 Mg/m³.